--- one ---
A plane-wave DFT calculation with PBE was carried out for a geometry-optimized Be3GaOs structure.

ρ	6.22	g/cm³
crystal system	cubic
symmetry	No. 221

```
5
Lattice="-1.206 -1.185 -3.897 1.644 -3.860 0.665 -3.727 -1.319 1.555" Properties=species:S:1:pos:R:3 pbc="T T T"
Be -1.863 -0.659 0.777
Be 0.822 -1.930 0.333
Be -0.603 -0.593 -1.948
Ga -1.645 -3.182 -0.838
Os 0.000 0.000 0.000
```

--- two ---
A plane-wave DFT calculation with PBE was carried out for a geometry-optimized Be3GaOs structure.

ρ	7.39	g/cm³
crystal system	cubic
symmetry	No. 221

```
5
Lattice="4.009 0.000 0.000 0.000 4.009 0.000 0.000 0.000 4.009" Properties=species:S:1:pos:R:3 pbc="T T T"
Ga 0.000 0.000 0.000
Be 0.000 2.005 0.000
Be 0.000 0.000 2.005
Be 2.005 0.000 0.000
Os 2.005 2.005 2.005
```

Last place for stability: two

--- one ---
A plane-wave DFT calculation with PBE was carried out for a geometry-optimized Be2GaP structure.

ρ	3.94	g/cm³
crystal system	cubic
symmetry	No. 225

```
4
Lattice="-3.099 -2.646 0.712 -3.912 1.170 -0.663 -2.127 -1.595 -3.169" Properties=species:S:1:pos:R:3 pbc="T T T"
Be -2.284 -0.768 -0.780
Be -6.853 -2.303 -2.340
P 0.000 0.000 0.000
Ga -4.569 -1.535 -1.560
```

--- two ---
A plane-wave DFT calculation with PBE was carried out for a geometry-optimized Be2GaP structure.

ρ	2.97	g/cm³
crystal system	tetragonal
symmetry	No. 122

```
8
Lattice="-3.551 -2.917 3.333 2.717 -4.808 -1.315 2.120 -3.302 4.202" Properties=species:S:1:pos:R:3 pbc="T T T"
Be 1.583 -4.360 0.834
Be 1.431 -5.646 3.834
Be -1.149 -3.085 2.780
Be 0.706 -8.964 4.992
Ga -0.924 -5.041 4.272
Ga 0.000 0.000 0.000
P -0.417 -3.863 1.009
P 2.210 -5.987 1.948
```

Last place for stability: one

--- one ---
A plane-wave DFT calculation with PBE was carried out for a geometry-optimized BeGaP2S structure.

ρ	3.48	g/cm³
crystal system	tetragonal
symmetry	No. 123

```
5
Lattice="-2.503 1.401 -3.222 -0.322 -4.142 -1.551 -3.499 -0.641 2.439" Properties=species:S:1:pos:R:3 pbc="T T T"
S -0.161 -2.071 -0.776
Be 0.000 0.000 0.000
P -1.750 -0.321 1.220
P -1.251 0.701 -1.611
Ga -3.162 -1.691 -1.167
```

--- two ---
A plane-wave DFT calculation with PBE was carried out for a geometry-optimized BeGaP2S structure.

ρ	2.83	g/cm³
crystal system	tetragonal
symmetry	No. 123

```
5
Lattice="4.659 0.000 0.000 0.000 4.659 0.000 0.000 0.000 4.674" Properties=species:S:1:pos:R:3 pbc="T T T"
Ga 0.000 0.000 0.000
P 2.329 0.000 0.000
P 0.000 2.329 0.000
Be 2.329 2.329 2.337
S 0.000 0.000 2.337
```

Last place for stability: two

--- one ---
A plane-wave DFT calculation with PBE was carried out for a geometry-optimized BeGaPS2 structure.

ρ	2.83	g/cm³
crystal system	tetragonal
symmetry	No. 123

```
5
Lattice="-2.473 2.551 2.961 -3.669 -2.723 -0.719 1.388 -2.819 3.588" Properties=species:S:1:pos:R:3 pbc="T T T"
S -1.835 -1.361 -0.360
S -1.237 1.276 1.480
P 0.694 -1.409 1.794
Be -2.377 -1.495 2.915
Ga 0.000 0.000 0.000
```

--- two ---
A plane-wave DFT calculation with PBE was carried out for a geometry-optimized BeGaPS2 structure.

ρ	3.36	g/cm³
crystal system	tetragonal
symmetry	No. 123

```
5
Lattice="-1.932 3.698 1.901 -0.815 -2.393 3.826 3.628 1.134 1.482" Properties=species:S:1:pos:R:3 pbc="T T T"
S -0.966 1.849 0.951
S -0.408 -1.196 1.913
Ga 0.440 1.220 3.605
Be 0.000 0.000 0.000
P 1.814 0.567 0.741
```

Last place for stability: one

--- one ---
A plane-wave DFT calculation with PBE was carried out for a geometry-optimized PaBeGa2 structure.

ρ	8.70	g/cm³
crystal system	cubic
symmetry	No. 225

```
4
Lattice="4.678 0.000 0.000 2.339 4.052 0.000 2.339 1.351 3.822" Properties=species:S:1:pos:R:3 pbc="T T T"
Be 0.000 0.000 0.000
Ga 7.018 4.052 2.868
Ga 2.339 1.351 0.954
Pa 4.678 2.701 1.911
```

--- two ---
A plane-wave DFT calculation with PBE was carried out for a geometry-optimized PaBeGa2 structure.

ρ	9.11	g/cm³
crystal system	orthorhombic
symmetry	No. 63

```
8
Lattice="4.080 0.000 0.000 0.000 3.943 -0.993 0.000 0.066 8.585" Properties=species:S:1:pos:R:3 pbc="T T T"
Pa 3.060 0.430 1.707
Pa 1.020 3.579 5.885
Ga 1.020 1.018 4.042
Ga 3.060 2.991 3.550
Ga 3.060 1.871 7.428
Ga 1.020 2.138 0.164
Be 1.020 2.683 2.330
Be 3.060 1.325 5.262
```

--- three ---
A plane-wave DFT calculation with PBE was carried out for a geometry-optimized PaBeGa2 structure.

ρ	8.52	g/cm³
crystal system	tetragonal
symmetry	No. 123

```
4
Lattice="4.288 0.000 0.000 0.000 4.152 0.000 0.000 0.000 4.152" Properties=species:S:1:pos:R:3 pbc="T T T"
Ga 0.000 0.000 2.076
Ga 0.000 2.076 0.000
Pa 2.144 0.000 0.000
Be 2.144 2.076 2.076
```

Last place for stability: one

--- one ---
A plane-wave DFT calculation with PBE was carried out for a geometry-optimized Be2Ga2Pb structure.

ρ	6.99	g/cm³
crystal system	tetragonal
symmetry	No. 127

```
10
Lattice="6.763 0.000 0.000 0.000 6.763 0.000 0.000 0.000 3.789" Properties=species:S:1:pos:R:3 pbc="T T T"
Ga 5.748 2.366 1.895
Ga 4.397 5.748 1.895
Ga 2.366 1.015 1.895
Ga 1.015 4.397 1.895
Be 4.131 0.750 0.000
Be 6.013 4.131 0.000
Be 0.750 2.632 0.000
Be 2.632 6.013 0.000
Pb 3.381 3.381 0.000
Pb 0.000 0.000 0.000
```

--- two ---
A plane-wave DFT calculation with PBE was carried out for a geometry-optimized Be2Ga2Pb structure.

ρ	7.04	g/cm³
crystal system	tetragonal
symmetry	No. 139

```
5
Lattice="-3.278 -1.332 1.825 0.587 -3.607 -1.579 1.628 -3.874 4.439" Properties=species:S:1:pos:R:3 pbc="T T T"
Pb 0.000 0.000 0.000
Ga -0.460 -5.993 3.482
Ga -0.602 -2.821 1.202
Be -1.497 -3.838 3.193
Be 0.435 -4.976 1.491
```

Last place for stability: one

--- one ---
A plane-wave DFT calculation with PBE was carried out for a geometry-optimized BeGa2Pb structure.

ρ	7.12	g/cm³
crystal system	cubic
symmetry	No. 225

```
4
Lattice="2.413 -3.998 1.465 -1.195 -4.384 -1.819 3.044 -2.286 -3.076" Properties=species:S:1:pos:R:3 pbc="T T T"
Pb 2.131 -5.334 -1.715
Ga 3.196 -8.001 -2.572
Ga 1.065 -2.667 -0.857
Be 0.000 0.000 0.000
```

--- two ---
A plane-wave DFT calculation with PBE was carried out for a geometry-optimized BeGa2Pb structure.

ρ	6.91	g/cm³
crystal system	tetragonal
symmetry	No. 122

```
8
Lattice="-4.529 -0.823 -0.862 1.100 -1.578 -4.270 -0.950 -8.407 0.294" Properties=species:S:1:pos:R:3 pbc="T T T"
Be -0.783 -5.593 -3.271
Be -1.715 -1.201 -2.566
Pb -3.597 -5.215 -1.567
Pb 0.000 0.000 0.000
Ga -1.869 -7.391 -2.207
Ga -2.398 -2.716 -0.898
Ga -3.843 -8.220 -3.767
Ga -0.650 -3.288 -2.805
```

Last place for stability: one

--- one ---
A plane-wave DFT calculation with PBE was carried out for a geometry-optimized BeGaPb3 structure.

ρ	8.53	g/cm³
crystal system	cubic
symmetry	No. 221

```
5
Lattice="-2.463 0.371 -4.504 2.064 -4.471 -1.497 -4.020 -2.522 1.991" Properties=species:S:1:pos:R:3 pbc="T T T"
Be 0.000 0.000 0.000
Pb -2.010 -1.261 0.996
Pb -1.232 0.185 -2.252
Pb 1.032 -2.235 -0.748
Ga -2.210 -3.311 -2.005
```

--- two ---
A plane-wave DFT calculation with PBE was carried out for a geometry-optimized BeGaPb3 structure.

ρ	7.03	g/cm³
crystal system	cubic
symmetry	No. 221

```
5
Lattice="-0.228 -0.669 -5.444 -4.279 -3.388 0.596 -3.432 4.268 -0.381" Properties=species:S:1:pos:R:3 pbc="T T T"
Pb -0.114 -0.335 -2.722
Pb -2.139 -1.694 0.298
Pb -1.716 2.134 -0.190
Be -3.970 0.105 -2.615
Ga 0.000 0.000 0.000
```

Last place for stability: two

--- one ---
A plane-wave DFT calculation with PBE was carried out for a geometry-optimized BeGaPd structure.

ρ	7.73	g/cm³
crystal system	trigonal
symmetry	No. 156

```
3
Lattice="-2.583 -0.247 1.088 0.120 -3.991 -0.620 1.324 1.543 3.492" Properties=species:S:1:pos:R:3 pbc="T T T"
Pd -0.438 -0.042 0.185
Ga -0.806 -0.467 2.849
Be 0.105 -2.186 0.926
```

--- two ---
A plane-wave DFT calculation with PBE was carried out for a geometry-optimized BeGaPd structure.

ρ	7.92	g/cm³
crystal system	tetragonal
symmetry	No. 107

```
3
Lattice="3.062 0.000 0.000 0.000 3.062 0.000 -1.531 -1.531 4.142" Properties=species:S:1:pos:R:3 pbc="T T T"
Ga 1.531 1.531 1.005
Be 0.000 0.000 2.450
Pd 1.531 1.531 3.586
```

--- three ---
A plane-wave DFT calculation with PBE was carried out for a geometry-optimized BeGaPd structure.

ρ	6.41	g/cm³
crystal system	trigonal
symmetry	No. 160

```
6
Lattice="-0.299 -3.093 1.958 2.971 -1.463 1.588 -0.549 2.904 7.949" Properties=species:S:1:pos:R:3 pbc="T T T"
Pd 1.771 -3.008 2.408
Pd 1.742 -1.701 7.914
Be 2.122 -2.868 6.127
Be 2.498 -4.023 4.361
Ga -0.275 2.064 6.663
Ga 0.538 -0.436 2.839
```

Last place for stability: three

--- one ---
A plane-wave DFT calculation with PBE was carried out for a geometry-optimized BeGaPd3 structure.

ρ	8.99	g/cm³
crystal system	orthorhombic
symmetry	No. 38

```
10
Lattice="-1.004 2.728 1.588 -6.542 -2.158 -0.429 -1.733 -3.824 5.476" Properties=species:S:1:pos:R:3 pbc="T T T"
Be -5.331 -1.450 1.629
Be -2.932 -2.283 4.580
Pd -0.690 0.621 1.007
Pd -3.428 -1.358 2.677
Pd -6.640 -0.940 3.381
Pd -5.031 0.767 1.464
Pd -4.745 -1.597 5.709
Pd -2.118 -0.243 5.043
Ga -2.561 0.995 2.635
Ga -6.200 -3.362 4.366
```

--- two ---
A plane-wave DFT calculation with PBE was carried out for a geometry-optimized BeGaPd3 structure.

ρ	8.82	g/cm³
crystal system	cubic
symmetry	No. 221

```
5
Lattice="4.216 0.000 0.000 0.000 4.216 0.000 0.000 0.000 4.216" Properties=species:S:1:pos:R:3 pbc="T T T"
Pd 2.108 0.000 0.000
Pd 0.000 0.000 2.108
Pd 0.000 2.108 0.000
Be 0.000 0.000 0.000
Ga 2.108 2.108 2.108
```

Last place for stability: two

--- one ---
A plane-wave DFT calculation with PBE was carried out for a geometry-optimized BeGaPdRh structure.

ρ	9.37	g/cm³
crystal system	tetragonal
symmetry	No. 99

```
4
Lattice="2.882 0.000 0.000 0.000 2.882 0.000 0.000 0.000 6.148" Properties=species:S:1:pos:R:3 pbc="T T T"
Be 1.441 1.441 3.822
Pd 0.000 0.000 2.312
Ga 1.441 1.441 0.588
Rh 0.000 0.000 5.131
```

--- two ---
A plane-wave DFT calculation with PBE was carried out for a geometry-optimized BeGaPdRh structure.

ρ	9.33	g/cm³
crystal system	cubic
symmetry	No. 216

```
4
Lattice="4.170 0.000 0.000 2.085 3.611 0.000 2.085 1.204 3.405" Properties=species:S:1:pos:R:3 pbc="T T T"
Be 6.255 3.611 2.554
Pd 4.170 2.408 1.702
Rh 0.000 0.000 0.000
Ga 2.085 1.204 0.851
```

Last place for stability: two

--- one ---
A plane-wave DFT calculation with PBE was carried out for a geometry-optimized Pm2BeGa structure.

ρ	6.62	g/cm³
crystal system	tetragonal
symmetry	No. 123

```
4
Lattice="-2.299 -2.569 -0.925 2.549 -1.585 -1.932 1.991 -3.872 5.805" Properties=species:S:1:pos:R:3 pbc="T T T"
Ga 1.121 -4.013 1.474
Pm 0.465 -0.904 1.355
Pm 1.526 -2.968 4.449
Be 0.125 -2.077 -1.428
```

--- two ---
A plane-wave DFT calculation with PBE was carried out for a geometry-optimized Pm2BeGa structure.

ρ	6.58	g/cm³
crystal system	cubic
symmetry	No. 225

```
4
Lattice="-1.444 -1.360 -4.685 3.344 -2.166 -3.164 -0.450 -4.925 -1.194" Properties=species:S:1:pos:R:3 pbc="T T T"
Pm 1.087 -6.338 -6.782
Pm 0.362 -2.113 -2.261
Be 0.725 -4.225 -4.522
Ga 0.000 0.000 0.000
```

Last place for stability: two